Version P
The following is a GGA-PBE calculation of crystalline TiTl2Te at its relaxed geometry, from Alexandria via LeMat-Bulk.

abc: 12.417 12.417 12.417
angles: 160.14 160.14 28.24
Positions (direct):
Ti (0.000, 0.000, 0.000)
Ti (0.750, 0.250, 0.500)
Tl (0.122, 0.625, 0.997)
Tl (0.375, 0.372, 0.497)
Tl (0.628, 0.125, 0.003)
Tl (0.875, 0.878, 0.503)
Te (0.250, 0.750, 0.500)
Te (0.500, 0.500, 0.000)

Properties
- SG: I-42d, No. 122
- DOS(E_F): 1.037 states/eV per atom



Version Q
The following is a GGA-PBE calculation of crystalline TiTl2Te at its relaxed geometry, from Alexandria via LeMat-Bulk.

abc: 5.384 5.384 5.384
angles: 60.00 60.00 60.00
Positions (direct):
Ti (0.000, 0.000, 0.000)
Tl (0.250, 0.250, 0.250)
Tl (0.750, 0.750, 0.750)
Te (0.500, 0.500, 0.500)

Properties
- SG: Fm-3m, No. 225
- DOS(E_F): 1.208 states/eV per atom



Quick ranking, most stable first: version P, version Q.